(1)
YCu2Si, optimized geometry, DFT GGA-PBE; formation energy without anion corrections = -179 meV/atom; calculated density = 5.2 g/cm3; V = 157.15 Å³/cell; magnetic moment = 0.000 μB/atom
1.0
-2.2224 2.2224 7.9541
2.2224 -2.2224 7.9541
2.2224 2.2224 -7.9541
Y Cu Si
2 4 2
direct
0.0000 0.0000 0.0000
0.7500 0.2500 0.5000
0.3029 0.6250 0.1779
0.3750 0.5529 0.6779
0.4471 0.1250 0.8221
0.8750 0.6971 0.3221
0.2500 0.7500 0.5000
0.5000 0.5000 0.0000


(2)
Sr2Li2Ca, optimized geometry, DFT GGA-PBE; calculated formation energy = 0.1353 eV per atom; calculated density = 2.0 g/cm3; offset from the most stable computed form = 0.571 eV/f.u.; V = 390.16 Å³/cell; magnetic moment = 0.000 μB/atom
1.0
9.9929 0.0000 0.0000
0.0000 9.9929 0.0000
0.0000 0.0000 3.9072
Sr Li Ca
4 4 2
direct
0.1395 0.3605 0.0000
0.3605 0.8605 0.0000
0.6395 0.1395 0.0000
0.8605 0.6395 0.0000
0.1577 0.6577 0.5000
0.3423 0.1577 0.5000
0.6577 0.8423 0.5000
0.8423 0.3423 0.5000
0.0000 0.0000 0.0000
0.5000 0.5000 0.0000


(3)
TaHg2RuF, optimized geometry, DFT GGA-PBE; formation energy without anion corrections = 686 meV/atom; calculated density = 12.5 g/cm3; V = 93.37 Å³/cell; magnetic moment = 0.234 μB/atom
1.0
4.8409 0.0000 0.0000
0.0000 4.8409 0.0000
0.0000 0.0000 3.9844
Ta Hg Ru F
1 2 1 1
direct
0.0000 0.0000 0.0000
0.0000 0.5000 0.5000
0.5000 0.0000 0.5000
0.5000 0.5000 0.0000
0.5000 0.5000 0.5000